# Ac6CdGa3

An optimized crystal structure of Ac6CdGa3 (PBE-GGA, the Alexandria database).

**ρ**: 7.610 g/cm³
**Size of the total moment**: 0.00 μB per formula unit
**DFT total energy**: -3.66 eV/atom
**Space group**: P2_1/c

a = 8.261 Å, b = 8.654 Å, c = 12.936 Å
α = 90.00°, β = 127.39°, γ = 90.00°
Positions (direct):
Ac: 0.017 0.093 0.245
Ac: 0.017 0.407 0.745
Ac: 0.215 0.674 0.066
Ac: 0.215 0.826 0.566
Ac: 0.401 0.160 0.071
Ac: 0.401 0.340 0.571
Ac: 0.599 0.660 0.429
Ac: 0.599 0.840 0.929
Ac: 0.785 0.174 0.434
Ac: 0.785 0.326 0.934
Ac: 0.983 0.593 0.255
Ac: 0.983 0.907 0.755
Cd: 0.500 0.000 0.500
Cd: 0.500 0.500 0.000
Ga: 0.000 0.000 0.000
Ga: 0.000 0.500 0.500
Ga: 0.303 0.138 0.751
Ga: 0.303 0.362 0.251
Ga: 0.697 0.638 0.749
Ga: 0.697 0.862 0.249